Compound: CaAc2Zn
Source: Alexandria via LeMat-Bulk
Functional: PBE
Structure: optimized geometry

Summary:
- Distance to the lowest polymorph of the same formula: 41.5 kJ/mol of formula units
- ΔE_f: 0.00 eV per atom
- SG: No. 123

Cell lengths 5.7834, 5.7834, 4.2370 Å; angles 90.00, 90.00, 90.00 degrees
Sites, in units of the cell vectors:
Ca (0.0000, 0.0000, 0.0000)
Ac (0.0000, 0.5000, 0.5000)
Ac (0.5000, 0.0000, 0.5000)
Zn (0.5000, 0.5000, 0.0000)



Compound: In2Co2Pb
Source: Alexandria via LeMat-Bulk
Functional: PBE
Structure: optimized geometry

Summary:
- ΔE_f: 0.25 eV per atom
- SG: No. 139

Cell lengths 3.3741, 3.3741, 18.6209 Å; angles 90.00, 90.00, 90.00 degrees
Sites, in units of the cell vectors:
In (0.0000, 0.0000, 0.1337)
In (0.0000, 0.0000, 0.8663)
In (0.5000, 0.5000, 0.3663)
In (0.5000, 0.5000, 0.6337)
Co (0.0000, 0.5000, 0.2500)
Co (0.0000, 0.5000, 0.7500)
Co (0.5000, 0.0000, 0.2500)
Co (0.5000, 0.0000, 0.7500)
Pb (0.0000, 0.0000, 0.5000)
Pb (0.5000, 0.5000, 0.0000)



Compound: Nd2Dy7Y2
Source: Alexandria via LeMat-Bulk
Functional: PBE
Structure: optimized geometry

Summary:
- Distance to the lowest polymorph of the same formula: 0.0 kJ/mol of formula units
- ΔE_f: 0.08 eV per atom
- SG: No. 2

Cell lengths 6.5883, 6.6825, 8.9636 Å; angles 111.12, 99.32, 95.33 degrees
Sites, in units of the cell vectors:
Nd (0.2162, 0.1769, 0.0720)
Nd (0.7838, 0.8231, 0.9280)
Dy (0.0000, 0.5000, 0.5000)
Dy (0.1079, 0.9230, 0.3316)
Dy (0.3822, 0.9333, 0.7159)
Dy (0.4962, 0.6200, 0.3630)
Dy (0.5038, 0.3800, 0.6370)
Dy (0.6178, 0.0667, 0.2841)
Dy (0.8921, 0.0770, 0.6684)
Y (0.2518, 0.6109, 0.9487)
Y (0.7482, 0.3891, 0.0513)